A plane-wave DFT calculation with GGA-PBE was carried out for a relaxed structure of MgReOs2.

Calculated values
As for the crystal system: trigonal. The calculation puts the formation energy at 0.145 eV/atom. The total energy is -8.98 eV per atom. As for the calculated density: 16.143 g/cm3.

Structure (POSCAR):
```
MgReOs2
1.0
9.166 0.001 0.001
8.741 2.758 0.001
8.741 1.347 2.407
Os Mg Re
2 1 1
Cartesian
26.545 4.091 2.399
13.427 2.069 1.213
19.986 3.080 1.806
6.662 1.027 0.602
```